First-principles (PBE+U) data for a relaxed K2LiCrO4 crystal, as listed in the Alexandria database.

a b c (Å): 11.3418 10.0630 6.2617
angles (deg): 84.61 62.05 33.34
With the nearest neighbours (Å) after each atom.
Sites, in units of the cell vectors:
K 0.0493 0.0493 0.7007  8 O 3.02-3.23
K 0.2993 0.2993 0.9507  8 O 3.02-3.23
K 0.7007 0.7007 0.0493  8 O 3.02-3.23
K 0.9507 0.9507 0.2993  8 O 3.02-3.23
Li 0.1250 0.1250 0.1250  4 O 1.91
Li 0.8750 0.8750 0.8750  4 O 1.91
Cr 0.3750 0.3750 0.3750  4 O 1.73
Cr 0.6250 0.6250 0.6250  4 O 1.73
O 0.0185 0.6397 0.5565  1 Cr 1.73, 1 Li 1.91
O 0.2853 0.5565 0.6397  1 Cr 1.73, 1 Li 1.91
O 0.3603 0.9815 0.7147  1 Cr 1.73, 1 Li 1.91
O 0.4435 0.7147 0.9815  1 Cr 1.73, 1 Li 1.91
O 0.5565 0.2853 0.0185  1 Cr 1.73, 1 Li 1.91
O 0.6397 0.0185 0.2853  1 Cr 1.73, 1 Li 1.91
O 0.7147 0.4435 0.3603  1 Cr 1.73, 1 Li 1.91
O 0.9815 0.3603 0.4435  1 Cr 1.73, 1 Li 1.91

Values from the calculation:
**SG**: Fddd
**Crystal system**: orthorhombic
**VASP energy**: -5.57 eV/atom
**Total magnetic moment**: 0.125 μB per atom